# BaWO2

A geometry-optimized BaWO2 structure (PBE+U, the Alexandria database).

abc: 6.844 6.844 12.883
angles: 90.00 90.00 90.00
Space group I4_1/amd (No. 141, origin choice 2)
One atom of each set of equivalent atoms:
Ba 0.000 0.000 0.000 [8 per cell]
W 0.000 0.000 0.500 [8 per cell]
O 0.000 0.051 0.216 [16 per cell]

Size of the total moment in μB/atom: 0.979
Crystal system: tetragonal
Uncorrected energy in eV per atom: -6.2951
ΔE to the lowest computed polymorph in meV per atom: 225
DOS(E_F) in states/eV per atom: 0.151